The following is a PBE calculation of a relaxed MoRu2 crystal, from Alexandria.

Total DFT energy (no corrections) ... -9.8037 eV per atom
E_form ... -0.009 eV per atom
Crystal system ... monoclinic

Cell lengths 2.7607, 5.2009, 6.5012 Å; angles 76.41, 90.00, 105.39 degrees
Element x y z (fractional)
Mo 0.3936 0.7873 0.7291
Ru 0.0038 0.0076 0.0028
Ru 0.7184 0.4368 0.0527
Mo 0.3286 0.6572 0.3265
Ru 0.0562 0.1124 0.3930
Ru 0.6660 0.3320 0.6626

The following is a PBE calculation of a relaxed Ta2NiHIr crystal, from Alexandria.

Total DFT energy (no corrections) ... -8.5694 eV per atom
Crystal system ... tetragonal

Cell lengths 4.0241, 4.0241, 3.9448 Å; angles 90.00, 90.00, 90.00 degrees
Element x y z (fractional)
Ta 0.5000 0.0000 0.0000
Ni 0.5000 0.5000 0.5000
Ta 0.0000 0.5000 0.0000
Ir 0.0000 0.0000 0.5000
H 0.0000 0.0000 0.0000

The following is a PBE calculation of a relaxed CaAgRh2O crystal, from Alexandria.

Total DFT energy (no corrections) ... -4.0211 eV per atom
Energy relative to the elements, uncorrected ... 425 kJ/mol of formula units
Crystal system ... tetragonal

Cell lengths 5.0589, 5.0589, 4.1315 Å; angles 90.00, 90.00, 90.00 degrees
Site moments in Bohr magnetons follow the coordinates.
Element x y z (fractional)
Rh 0.5000 0.0000 0.0000  1.00
Ca 0.0000 0.0000 0.0000  -0.04
O 0.0000 0.0000 0.5000  0.46
Rh 0.0000 0.5000 0.0000  1.00
Ag 0.5000 0.5000 0.5000  -0.01

The following is a PBE calculation of a relaxed LaPrO crystal, from Alexandria.

Total DFT energy (no corrections) ... -6.5833 eV per atom
Energy relative to the elements, uncorrected ... -491 kJ/mol of formula units
Crystal system ... trigonal

Cell lengths 3.7674, 3.7674, 6.1936 Å; angles 90.00, 90.00, 120.00 degrees
Site moments in Bohr magnetons follow the coordinates.
Element x y z (fractional)
Pr 0.0000 0.0000 0.8921  -0.15
O 0.3333 0.6667 0.6617  0.00
La 0.6667 0.3333 0.4461  0.15